In3OsRu: relaxed, PBE.

It has space group Pm-3m (No. 221), with a = 5.1068 Å, b = 5.1068 Å, c = 5.1068 Å, α = 90.00°, β = 90.00° and γ = 90.00°. The asymmetric unit holds In at (0.0000, 0.0000, 0.5000), Os at (0.0000, 0.0000, 0.0000) and Ru at (0.5000, 0.5000, 0.5000).

As for the formation energy: 1.06 eV per atom. As for the final energy: -4.6828 eV per atom. For the offset from the most stable computed form, the calculation gives 0 meV/atom. Its density of states at the Fermi level is 1.67 states/eV/f.u. Its calculated density is 7.93 Mg/m³. The calculation puts the total magnetization at 3.01 μB per formula unit.

***

V2NiBiI: relaxed, PBE.

It has space group P4/mmm (No. 123), with a = 5.0141 Å, b = 5.0141 Å, c = 4.7362 Å, α = 90.00°, β = 90.00° and γ = 90.00°. The asymmetric unit holds V at (0.0000, 0.5000, 0.0000), Ni at (0.0000, 0.0000, 0.0000), Bi at (0.0000, 0.0000, 0.5000) and I at (0.5000, 0.5000, 0.5000).

As for the final energy: -5.0368 eV per atom. Its density of states at the Fermi level is 8.12 states/eV/f.u. Its formation energy from raw total energies is 82.3 kJ/mol of atoms. Its calculated density is 6.92 Mg/m³. The calculation puts the total magnetization at 6.27 μB per formula unit.

***

Os2PbBr: relaxed, PBE.

It has space group I-42d (No. 122), with a = 4.5496 Å, b = 4.5496 Å, c = 16.5968 Å, α = 90.00°, β = 90.00° and γ = 90.00°. The asymmetric unit holds Os at (0.1466, 0.2500, 0.1250), Pb at (0.0000, 0.0000, 0.5000) and Br at (0.0000, 0.0000, 0.0000).

As for the final energy: -5.6935 eV per atom. For the offset from the most stable computed form, the calculation gives 777 meV/atom. Its density of states at the Fermi level is 3.52 states/eV/f.u. Its formation energy from raw total energies is 122.2 kJ/mol of atoms. Its calculated density is 12.91 Mg/m³. The calculation puts the total magnetization at 0.00 μB per formula unit.

***

NpTeSe2: relaxed, PBE.

It has space group R-3m (No. 166, hexagonal axes), with a = 4.1830 Å, b = 4.1830 Å, c = 25.9461 Å, α = 90.00°, β = 90.00° and γ = 120.00°. The asymmetric unit holds Np at (0.0000, 0.0000, 0.0000), Te at (0.0000, 0.0000, 0.5000) and Se at (0.0000, 0.0000, 0.3926).

As for the final energy: -6.2989 eV per atom. Its density of states at the Fermi level is 10.21 states/eV/f.u. Its formation energy from raw total energies is -51.7 kJ/mol of atoms. Its calculated density is 6.62 Mg/m³. The calculation puts the total magnetization at 4.10 μB per formula unit.

***

BaLiScFe2: relaxed, PBE.

It has space group P4/mmm (No. 123), with a = 4.5912 Å, b = 4.5912 Å, c = 5.8217 Å, α = 90.00°, β = 90.00° and γ = 90.00°. The asymmetric unit holds Ba at (0.0000, 0.0000, 0.0000), Li at (0.5000, 0.5000, 0.0000), Sc at (0.0000, 0.0000, 0.5000) and Fe at (0.0000, 0.5000, 0.5000).

As for the formation energy: 1.39 eV per atom. As for the final energy: -4.0258 eV per atom. Its density of states at the Fermi level is 12.43 states/eV/f.u. Its calculated density is 4.07 Mg/m³. The calculation puts the total magnetization at 0.09 μB per formula unit.

***

HfPtO4: relaxed, PBE.

It has space group I-4m2 (No. 119), with a = 4.0091 Å, b = 4.0091 Å, c = 10.2339 Å, α = 90.00°, β = 90.00° and γ = 90.00°. The asymmetric unit holds Hf at (0.0000, 0.0000, 0.0000), Pt at (0.0000, 0.5000, 0.7500), O at (0.0000, 0.0000, 0.2066) and O at (0.0000, 0.5000, 0.5502).

As for the final energy: -7.8322 eV per atom. Its density of states at the Fermi level is 0.89 states/eV/f.u. Its formation energy from raw total energies is -179.6 kJ/mol of atoms. Its calculated density is 8.83 Mg/m³. The calculation puts the total magnetization at 0.00 μB per formula unit.